Model a:
A plane-wave DFT calculation with GGA-PBE was carried out for an optimized crystal structure of Ga2AgSe2.

Cell lengths 4.6187, 4.6187, 6.6503 Å; angles 69.68, 69.68, 90.00 degrees
Last column: nearest neighbours and their distance in Å.
Atoms (fractional coordinates):
Se  0.6413  0.6413  0.7174  4 Ga 2.63
Se  0.3587  0.3587  0.2826  4 Ga 2.63
Ga  0.7500  0.2500  0.5000  4 Se 2.63
Ga  0.2500  0.7500  0.5000  4 Se 2.63
Ag  0.0000  0.0000  0.0000  8 Se 3.65, 8 Ga 3.70

Output
* M_tot: 0.00 μB/cell
* SG: I4/mmm

---

Model b:
A plane-wave DFT calculation with GGA-PBE was carried out for an optimized crystal structure of Ga2AgSe2.

Cell lengths 7.9560, 7.9560, 3.7578 Å; angles 90.00, 90.00, 90.00 degrees
Last column: nearest neighbours and their distance in Å.
Atoms (fractional coordinates):
Se  0.2418  0.2582  0.0000  2 Ga 2.49
Se  0.7418  0.2418  0.0000  2 Ga 2.49
Se  0.2582  0.7582  0.0000  2 Ga 2.49
Se  0.7582  0.7418  0.0000  2 Ga 2.49
Ag  0.5000  0.5000  0.0000  4 Se 2.81
Ag  0.0000  0.0000  0.0000  4 Se 2.81
Ga  0.1126  0.6126  0.5000  2 Se 2.49, 1 Ga 2.53
Ga  0.8874  0.3874  0.5000  2 Se 2.49, 1 Ga 2.53
Ga  0.6126  0.8874  0.5000  2 Se 2.49, 1 Ga 2.53
Ga  0.3874  0.1126  0.5000  2 Se 2.49, 1 Ga 2.53

Output
* M_tot: 0.00 μB/cell
* SG: P4/mbm

---

Pick model b: it beats the second-best structure by 189 meV/atom.